GGA-PBE EuZrO3, optimized geometry; total energy = -0.3631 Ha/atom; size of the total moment = 56.00 μB per cell
1.0
8.394 0.000 0.000
0.000 8.394 0.000
0.000 0.000 8.394
Eu Zr O
8 8 24
Direct
0.228 0.228 0.228
0.229 0.771 0.271
0.271 0.229 0.771
0.272 0.772 0.728
0.728 0.272 0.772
0.729 0.729 0.729
0.771 0.271 0.229
0.772 0.728 0.272
0.003 0.497 0.503
0.003 0.503 0.997
0.497 0.497 0.497
0.497 0.503 0.003
0.503 0.003 0.497
0.503 0.997 0.003
0.997 0.003 0.503
0.997 0.997 0.997
0.001 0.250 0.479
0.001 0.750 0.480
0.020 0.999 0.250
0.021 0.999 0.750
0.250 0.020 0.999
0.250 0.479 0.001
0.250 0.521 0.501
0.250 0.980 0.499
0.479 0.001 0.250
0.480 0.001 0.750
0.499 0.250 0.980
0.499 0.750 0.979
0.501 0.250 0.521
0.501 0.750 0.520
0.520 0.501 0.750
0.521 0.501 0.250
0.750 0.021 0.999
0.750 0.480 0.001
0.750 0.520 0.501
0.750 0.979 0.499
0.979 0.499 0.750
0.980 0.499 0.250
0.999 0.250 0.020
0.999 0.750 0.021